--- i ---
Material: Mg2GaHg3
Method: DFT, PBE
State: optimized geometry

Results
SG: C2/m, No. 12

The structure in POSCAR format:
```
Mg2GaHg3
1.0
4.344 -7.385 0.000
4.344 7.385 0.000
-2.689 0.000 4.086
Mg Ga Hg
4 2 6
direct
0.000 0.000 0.000
0.171 0.829 0.500
0.500 0.500 0.500
0.829 0.171 0.500
0.333 0.667 0.000
0.667 0.333 0.000
0.083 0.412 0.247
0.246 0.246 0.745
0.412 0.083 0.247
0.588 0.917 0.753
0.754 0.754 0.255
0.917 0.588 0.753
```

--- ii ---
Material: Mg2GaHg3
Method: DFT, PBE
State: optimized geometry

Results
SG: Cmcm, No. 63

The structure in POSCAR format:
```
Mg2GaHg3
1.0
1.624 -13.019 0.000
1.624 13.019 0.000
0.000 0.000 6.402
Mg Ga Hg
4 2 6
direct
0.001 0.999 0.750
0.153 0.847 0.750
0.847 0.153 0.250
0.999 0.001 0.250
0.333 0.667 0.750
0.667 0.333 0.250
0.256 0.744 0.250
0.423 0.577 0.503
0.423 0.577 0.997
0.577 0.423 0.003
0.577 0.423 0.497
0.744 0.256 0.750
```

Ranked by calculated energy, most stable first: i, ii.

--- i ---
Material: MgGaSnHg
Method: DFT, PBE
State: optimized geometry

Results
SG: P1, No. 1

The structure in POSCAR format:
```
MgGaSnHg
1.0
3.299 0.000 0.000
0.001 3.372 0.000
0.002 0.059 8.260
Mg Ga Sn Hg
1 1 1 1
direct
0.000 0.000 0.000
0.002 0.992 0.522
0.500 0.496 0.265
0.501 0.500 0.770
```

--- ii ---
Material: MgGaSnHg
Method: DFT, PBE
State: optimized geometry

Results
SG: F-43m, No. 216

The structure in POSCAR format:
```
MgGaSnHg
1.0
0.000 3.606 3.606
3.606 0.000 3.606
3.606 3.606 0.000
Mg Ga Sn Hg
1 1 1 1
direct
0.000 0.000 0.000
0.500 0.500 0.500
0.750 0.750 0.750
0.250 0.250 0.250
```

Ranked by calculated energy, most stable first: i, ii.

--- i ---
Material: MnGa2Hg2
Method: DFT, PBE
State: optimized geometry

Results
SG: I4/mmm, No. 139

The structure in POSCAR format:
```
MnGa2Hg2
1.0
-2.132 2.132 6.028
2.132 -2.132 6.028
2.132 2.132 -6.028
Mn Ga Hg
1 2 2
direct
0.000 0.000 0.000
0.401 0.401 0.000
0.599 0.599 0.000
0.250 0.750 0.500
0.750 0.250 0.500
```

--- ii ---
Material: MnGa2Hg2
Method: DFT, PBE
State: optimized geometry

Results
SG: P4/mbm, No. 127

The structure in POSCAR format:
```
MnGa2Hg2
1.0
6.696 0.000 0.000
0.000 6.696 0.000
0.000 0.000 4.108
Mn Ga Hg
2 4 4
direct
0.000 0.000 0.000
0.500 0.500 0.000
0.156 0.344 0.000
0.344 0.844 0.000
0.656 0.156 0.000
0.844 0.656 0.000
0.160 0.660 0.500
0.340 0.160 0.500
0.660 0.840 0.500
0.840 0.340 0.500
```

Ranked by calculated energy, most stable first: i, ii.

--- i ---
Material: Ga3HgN
Method: DFT, PBE
State: optimized geometry

Results
SG: Pm-3m, No. 221

The structure in POSCAR format:
```
Ga3HgN
1.0
5.096 0.000 0.000
0.000 5.096 0.000
0.000 0.000 5.096
Ga Hg N
3 1 1
direct
0.000 0.000 0.500
0.000 0.500 0.000
0.500 0.000 0.000
0.000 0.000 0.000
0.500 0.500 0.500
```

--- ii ---
Material: Ga3HgN
Method: DFT, PBE
State: optimized geometry

Results
SG: Pm-3m, No. 221

The structure in POSCAR format:
```
Ga3HgN
1.0
4.449 0.000 0.000
0.000 4.449 0.000
0.000 0.000 4.449
Ga Hg N
3 1 1
direct
0.000 0.000 0.500
0.000 0.500 0.000
0.500 0.000 0.000
0.500 0.500 0.500
0.000 0.000 0.000
```

Ranked by calculated energy, most stable first: ii, i.